{
  "formula": "LaMg2Cr",
  "functional": "PBE",
  "state": "optimized geometry",
  "total_energy_ev_per_cell": -17.0,
  "dos_ef_per_ev_fu": 2.4,
  "space_group": "F-43m",
  "cell": [[-0.5126, 3.5003, -3.7962], [-4.7812, 1.1182, 1.6780], [4.0258, 0.2816, 3.2617]],
  "species": ["Mg", "Mg", "Cr", "La"],
  "frac_coords": [[0.0000, 0.0000, 0.0000], [0.2500, 0.7500, 0.5000], [0.5000, 0.5000, 0.0000], [0.7500, 0.2500, 0.5000]]
}

---

{
  "formula": "Sb5Se3",
  "functional": "PBE",
  "state": "optimized geometry",
  "dos_ef_per_ev_fu": 4.4,
  "space_group": "Cmmm",
  "formation_energy_uncorrected_kj_per_mol_fu": 119.7,
  "cell": [[-5.9018, -0.4807, -1.5875], [0.4560, -2.7084, 5.4808], [-1.0591, 4.8300, 2.4749]],
  "species": ["Sb", "Sb", "Se", "Sb", "Se", "Se", "Sb", "Sb"],
  "frac_coords": [[0.5000, 0.0000, 0.0000], [0.7651, 0.7651, 0.5000], [0.2582, 0.7418, 0.5000], [0.0000, 0.5000, 0.0000], [0.5000, 0.5000, 0.0000], [0.7418, 0.2582, 0.5000], [0.0000, 0.0000, 0.0000], [0.2349, 0.2349, 0.5000]]
}

---

{
  "formula": "Ba3HgAu",
  "functional": "PBE",
  "state": "optimized geometry",
  "total_energy_ev_per_cell": -47.4,
  "dos_ef_per_ev_fu": 4.1,
  "space_group": "Pnma",
  "cell": [[-0.1998, -4.5892, -1.6637], [6.4651, 3.6065, -10.7245], [11.6647, -2.7249, 6.1155]],
  "species": ["Au", "Ba", "Ba", "Ba", "Ba", "Au", "Ba", "Au", "Hg", "Hg", "Ba", "Ba", "Hg", "Ba", "Ba", "Au", "Ba", "Hg", "Ba", "Ba"],
  "frac_coords": [[0.2500, 0.1881, 0.4875], [0.7500, 0.3629, 0.4506], [0.2500, 0.1962, 0.2269], [0.7500, 0.8038, 0.7731], [0.7500, 0.4378, 0.1056], [0.7500, 0.6881, 0.0125], [0.7500, 0.0622, 0.6056], [0.2500, 0.3119, 0.9875], [0.7500, 0.5083, 0.7038], [0.2500, 0.4917, 0.2962], [0.2500, 0.9378, 0.3945], [0.2500, 0.6371, 0.5494], [0.7500, 0.9917, 0.2038], [0.2500, 0.5622, 0.8944], [0.7500, 0.1371, 0.9506], [0.7500, 0.8119, 0.5125], [0.7500, 0.6962, 0.2731], [0.2500, 0.0083, 0.7962], [0.2500, 0.8629, 0.0494], [0.2500, 0.3038, 0.7269]]
}

---

{
  "formula": "LiCo",
  "functional": "PBE",
  "state": "optimized geometry",
  "total_energy_ev_per_cell": -51.3,
  "dos_ef_per_ev_fu": 1.8,
  "space_group": "P6_3/mmc",
  "cell": [[7.4792, 0.0000, 0.0000], [-3.7396, 6.4772, 0.0000], [0.0000, 0.0000, 3.3563]],
  "species": ["Co", "Li", "Li", "Li", "Co", "Li", "Co", "Li", "Co", "Co", "Co", "Li"],
  "frac_coords": [[0.4389, 0.8777, 0.2500], [0.1614, 0.8386, 0.7500], [0.1614, 0.3228, 0.7500], [0.8386, 0.6772, 0.2500], [0.8777, 0.4389, 0.7500], [0.8386, 0.1614, 0.2500], [0.1223, 0.5611, 0.2500], [0.3228, 0.1614, 0.2500], [0.5611, 0.4389, 0.7500], [0.4389, 0.5611, 0.2500], [0.5611, 0.1223, 0.7500], [0.6772, 0.8386, 0.7500]]
}

---

{
  "formula": "BaCdO2",
  "functional": "PBE",
  "state": "optimized geometry",
  "dos_ef_per_ev_fu": 0.0,
  "space_group": "I-42d",
  "formation_energy_uncorrected_kj_per_mol_fu": -663.7,
  "cell": [[5.5782, 0.0000, 0.0000], [0.0000, 5.5782, 0.0000], [2.7891, 2.7891, 5.4837]],
  "species": ["O", "O", "Ba", "Ba", "O", "Cd", "O", "Cd"],
  "frac_coords": [[0.5756, 0.1250, 0.2500], [0.3750, 0.4244, 0.7500], [0.0000, 0.0000, 0.0000], [0.7500, 0.2500, 0.5000], [0.1744, 0.6250, 0.2500], [0.2500, 0.7500, 0.5000], [0.8750, 0.8256, 0.7500], [0.5000, 0.5000, 0.0000]]
}

---

{
  "formula": "Na3NbC",
  "functional": "PBE",
  "state": "optimized geometry",
  "total_energy_ev_per_cell": -11.2,
  "dos_ef_per_ev_fu": 3.9,
  "space_group": "Pm-3m",
  "cell": [[-2.7697, -5.2269, -0.8726], [1.7915, 0.0031, -5.7047], [4.9872, -2.9039, 1.5646]],
  "species": ["Nb", "Na", "Na", "C", "Na"],
  "frac_coords": [[0.0000, 0.0000, 0.0000], [0.5000, 0.0000, 0.0000], [0.0000, 0.0000, 0.5000], [0.5000, 0.5000, 0.5000], [0.0000, 0.5000, 0.0000]]
}

---

{
  "formula": "LaEr2",
  "functional": "PBE",
  "state": "optimized geometry",
  "total_energy_ev_per_cell": -27.9,
  "dos_ef_per_ev_fu": 4.5,
  "space_group": "C2/m",
  "cell": [[-0.8528, -1.1561, -4.8922], [6.0412, -3.7884, -0.1578], [-6.8126, -0.9866, 4.0777]],
  "species": ["Er", "La", "Er", "La", "Er", "Er"],
  "frac_coords": [[0.5030, 0.7506, 0.0060], [0.1687, 0.2506, 0.3374], [0.8360, 0.2539, 0.6721], [0.8313, 0.7494, 0.6626], [0.4970, 0.2494, 0.9940], [0.1640, 0.7461, 0.3279]]
}

---

{
  "formula": "HfAsPd",
  "functional": "PBE",
  "state": "optimized geometry",
  "total_energy_ev_per_cell": -87.9,
  "dos_ef_per_ev_fu": 1.3,
  "space_group": "Imm2",
  "cell": [[3.7641, 0.0000, 0.0000], [0.0000, 3.5488, 0.0000], [0.0000, 0.0000, 16.5132]],
  "species": ["As", "Pd", "Pd", "Hf", "As", "Hf", "As", "Pd", "Pd", "Hf", "Hf", "As"],
  "frac_coords": [[0.5000, 0.0000, 0.9738], [0.0000, 0.0000, 0.8676], [0.0000, 0.0000, 0.6957], [0.0000, 0.0000, 0.3098], [0.5000, 0.5000, 0.6539], [0.5000, 0.0000, 0.5292], [0.0000, 0.0000, 0.1539], [0.5000, 0.5000, 0.1957], [0.5000, 0.5000, 0.3676], [0.0000, 0.5000, 0.0292], [0.5000, 0.5000, 0.8098], [0.0000, 0.5000, 0.4738]]
}